1.
Computed, not measured: a geometry-optimized Pr2Dy9Er3 structure at the GGA-PBE level of DFT.

Computed properties:
E_tot ... -4.251 eV/atom
Space group ... Cm (8)
Magnetic moment ... 0.00 μB/f.u.
E_form ... 5.16 eV/f.u.
N(E_F) ... 18.73 states/eV per cell

a b c (Å): 6.2437 11.7154 11.7152
angles (deg): 44.96 55.20 55.20
Closest atoms and distances in Å follow each position.
Sites, in units of the cell vectors:
Pr: 0.5005 0.3036 0.6964  6 Dy 3.25-3.58, 1 Pr 3.52
Pr: 0.5005 0.6964 0.3036  6 Dy 3.25-3.58, 1 Pr 3.52
Dy: 0.0009 0.4998 0.4998  4 Dy 3.53, 4 Pr 3.58, 2 Er 3.77-3.78
Dy: 0.6590 0.9997 0.6775  1 Dy 2.89, 1 Er 3.09
Dy: 0.3403 0.0005 0.3225  1 Dy 2.88, 1 Er 3.09
Dy: 0.6590 0.6775 0.9997  1 Dy 2.89, 1 Er 3.09
Dy: 0.3403 0.3225 0.0005  1 Dy 2.88, 1 Er 3.09
Dy: 0.8359 0.8716 0.4520  5 Dy 3.29-3.59, 1 Pr 3.40, 1 Er 3.55
Dy: 0.1639 0.1282 0.5479  5 Dy 3.29-3.59, 1 Pr 3.39, 1 Er 3.55
Dy: 0.8359 0.4520 0.8716  5 Dy 3.29-3.59, 1 Pr 3.40, 1 Er 3.55
Dy: 0.1639 0.5479 0.1282  5 Dy 3.29-3.59, 1 Pr 3.39, 1 Er 3.55
Er: 0.0000 0.0002 0.0002  8 Dy 3.67-3.96
Er: 0.7081 0.3058 0.3058  2 Dy 3.09
Er: 0.2918 0.6940 0.6940  2 Dy 3.09


2.
Computed, not measured: a geometry-optimized Dy4InAu2 structure at the GGA-PBE level of DFT.

Computed properties:
E_tot ... -4.411 eV/atom
Space group ... R-3m (166)
Magnetic moment ... 0.00 μB/f.u.
E_form ... -3.17 eV/f.u.
N(E_F) ... 8.17 states/eV per cell

a b c (Å): 4.9002 4.9002 9.9972
angles (deg): 75.81 75.81 60.00
Closest atoms and distances in Å follow each position.
Sites, in units of the cell vectors:
Dy: 0.3822 0.3822 0.8533  3 In 3.16, 3 Au 3.21
Dy: 0.2033 0.2033 0.3900  4 Au 2.93-2.95
Dy: 0.7967 0.7967 0.6100  4 Au 2.93-2.95
Dy: 0.6178 0.6178 0.1467  3 In 3.16, 3 Au 3.21
In: 0.0000 0.0000 0.0000  2 Au 2.91, 6 Dy 3.16
Au: 0.1013 0.1013 0.6961  1 In 2.91, 7 Dy 2.93-3.21
Au: 0.8987 0.8987 0.3039  1 In 2.91, 7 Dy 2.93-3.21


3.
Computed, not measured: a geometry-optimized Ce5Bi2SbN structure at the GGA-PBE level of DFT.

Computed properties:
E_tot ... -6.439 eV/atom
Space group ... P4/mmm (123)
Formation energy (no corrections) ... -20.68 kcal/mol of atoms
Magnetic moment ... 3.54 μB/f.u.
N(E_F) ... 27.71 states/eV per cell

a b c (Å): 4.7325 4.7325 11.6388
angles (deg): 90.00 90.00 90.00
Closest atoms and distances in Å follow each position.
Sites, in units of the cell vectors:
Ce: 0.0000 0.5000 0.5000  2 N 2.37
Ce: 0.5000 0.0000 0.5000  2 N 2.37
Ce: 0.0000 0.0000 0.7292  1 N 2.67
Ce: 0.0000 0.0000 0.2708  1 N 2.67
Ce: 0.5000 0.5000 0.0000  4 Sb 3.35, 2 Bi 3.35
Bi: 0.5000 0.5000 0.2882  9 Ce 3.35-3.42
Bi: 0.5000 0.5000 0.7118  9 Ce 3.35-3.42
Sb: 0.0000 0.0000 0.0000  6 Ce 3.15-3.35
N: 0.0000 0.0000 0.5000  4 Ce 2.37


4.
Computed, not measured: a geometry-optimized CdPt2AuSe structure at the GGA-PBE level of DFT.

Computed properties:
E_tot ... -3.071 eV/atom
Space group ... P4/mmm (123)
Formation energy (no corrections) ... 20.31 kcal/mol of atoms
Magnetic moment ... 0.00 μB/f.u.
N(E_F) ... 3.75 states/eV per cell

a b c (Å): 5.0720 4.7973 5.0720
angles (deg): 90.00 90.00 90.00
Closest atoms and distances in Å follow each position.
Sites, in units of the cell vectors:
Au: 0.0000 0.0000 0.0000  2 Se 2.40, 4 Pt 2.54
Se: 0.0000 0.5000 0.0000  2 Au 2.40
Pt: 0.0000 0.0000 0.5000  2 Au 2.54
Pt: 0.5000 0.0000 0.0000  2 Au 2.54
Cd: 0.5000 0.5000 0.5000  8 Pt 3.49, 4 Se 3.59


> What is the E_tot in the first record?

-4.251 eV/atom


Repeat the second record exactly.
Computed, not measured: a geometry-optimized Dy4InAu2 structure at the GGA-PBE level of DFT.

Computed properties:
E_tot ... -4.411 eV/atom
Space group ... R-3m (166)
Magnetic moment ... 0.00 μB/f.u.
E_form ... -3.17 eV/f.u.
N(E_F) ... 8.17 states/eV per cell

a b c (Å): 4.9002 4.9002 9.9972
angles (deg): 75.81 75.81 60.00
Closest atoms and distances in Å follow each position.
Sites, in units of the cell vectors:
Dy: 0.3822 0.3822 0.8533  3 In 3.16, 3 Au 3.21
Dy: 0.2033 0.2033 0.3900  4 Au 2.93-2.95
Dy: 0.7967 0.7967 0.6100  4 Au 2.93-2.95
Dy: 0.6178 0.6178 0.1467  3 In 3.16, 3 Au 3.21
In: 0.0000 0.0000 0.0000  2 Au 2.91, 6 Dy 3.16
Au: 0.1013 0.1013 0.6961  1 In 2.91, 7 Dy 2.93-3.21
Au: 0.8987 0.8987 0.3039  1 In 2.91, 7 Dy 2.93-3.21


> What is the formula in the third record?

Ce5Bi2SbN


> The highest magnetic moment belongs to which entry?

Ce5Bi2SbN